A plane-wave DFT calculation with PBE with a Hubbard U was carried out for a geometry-optimized CrPtO structure.

abc: 5.035 2.907 11.843
angles: 90.00 98.58 90.00
Space group C2/m (No. 12)
One atom of each set of equivalent atoms:
Cr 0.065 0.000 0.210 (multiplicity 4)
Pt 0.203 0.000 0.602 (multiplicity 4)
O 0.129 0.500 0.868 (multiplicity 4)

Results
Total energy: -84.495 eV/cell